Entry 1:
The following is a GGA-PBE calculation of a relaxed structure of LiAc5O8, from the Alexandria database.

Cell and atoms, written as extended XYZ:
```
14
Lattice="-3.925 3.925 3.876 3.925 -3.925 3.876 3.925 3.925 -3.876" Properties=species:S:1:pos:R:3 pbc="T T T"
Li 0.000 0.000 0.000
Ac 1.939 2.731 -1.024
Ac 5.119 1.939 1.024
Ac 1.986 1.194 2.852
Ac 0.000 3.925 1.938
Ac -1.194 1.986 4.900
O 2.441 0.485 0.398
O 4.495 2.376 -1.334
O 3.440 -1.484 3.478
O -0.570 1.549 2.542
O 2.376 3.355 1.334
O 0.485 5.409 -0.398
O 1.549 0.570 5.209
O 1.484 3.440 4.274
```

Output
- crystal system = tetragonal
- DOS at the Fermi energy (states/eV/f.u.) = 0.00
- E (eV/atom) = -7.426
- volume (Å³ per cell) = 238.8
- SG = I-4
- formation energy (no corrections) (eV/atom) = -2.989

=====

Entry 2:
The following is a GGA-PBE calculation of a relaxed structure of LiAcO3, from the Alexandria database.

Cell and atoms, written as extended XYZ:
```
5
Lattice="3.918 0.000 0.000 0.000 3.918 0.000 0.000 0.000 3.918" Properties=species:S:1:pos:R:3 pbc="T T T"
Li 0.000 0.000 0.000
Ac 1.959 1.959 1.959
O 0.000 0.000 1.959
O 0.000 1.959 0.000
O 1.959 0.000 0.000
```

Output
- crystal system = cubic
- DOS at the Fermi energy (states/eV/f.u.) = 2.17
- E (eV/atom) = -6.169
- volume (Å³ per cell) = 60.2
- SG = Pm-3m
- formation energy (no corrections) (eV/atom) = -1.989

=====

Entry 3:
The following is a GGA-PBE calculation of a relaxed structure of LiAcO2, from the Alexandria database.

Cell and atoms, written as extended XYZ:
```
8
Lattice="1.766 -5.586 0.000 1.766 5.586 0.000 0.000 0.000 5.652" Properties=species:S:1:pos:R:3 pbc="T T T"
Li 1.766 4.326 4.239
Li 1.766 -4.326 1.413
Ac 1.766 1.373 4.239
Ac 1.766 -1.373 1.413
O 0.000 0.000 0.000
O 0.000 0.000 2.826
O 1.766 2.379 1.413
O 1.766 -2.379 4.239
```

Output
- crystal system = orthorhombic
- DOS at the Fermi energy (states/eV/f.u.) = 0.00
- E (eV/atom) = -6.711
- volume (Å³ per cell) = 111.5
- SG = Cmcm
- energy relative to the lowest polymorph listed for this composition (eV per atom) = 0.000
- formation energy (no corrections) (eV/atom) = -2.726

=====

Entry 4:
The following is a GGA-PBE calculation of a relaxed structure of LiAc2OsO6, from the Alexandria database.

Cell and atoms, written as extended XYZ:
```
10
Lattice="0.000 4.004 4.004 4.004 0.000 4.004 4.004 4.004 0.000" Properties=species:S:1:pos:R:3 pbc="T T T"
Li 0.000 0.000 0.000
Ac 2.002 2.002 2.002
Ac 6.006 6.006 6.006
Os 4.004 4.004 4.004
O 4.004 4.004 2.035
O 4.004 2.035 4.004
O 5.973 4.004 4.004
O 2.035 4.004 4.004
O 4.004 5.973 4.004
O 4.004 4.004 5.973
```

Output
- crystal system = cubic
- DOS at the Fermi energy (states/eV/f.u.) = 1.35
- E (eV/atom) = -7.516
- volume (Å³ per cell) = 128.4
- SG = Fm-3m
- formation energy (no corrections) (eV/atom) = -2.405